A plane-wave DFT calculation with meta-GGA SCAN was carried out for a PBEsol-optimized structure of YAg2Se.

Computed properties:
raw formation energy	-672	meV/atom
DOS(E_F)	0.419	states/eV/atom
calculated total energy	-113.34	eV/cell
size of the total moment	0.000	μB/cell

```
YAg2Se
1.0
3.9560 0.0000 0.0000
0.0000 3.9560 0.0000
0.0000 0.0000 5.1828
Ag Se Y
2 1 1
Cartesian
0.0000 1.9780 0.0000
1.9780 0.0000 0.0000
1.9780 1.9780 2.5914
0.0000 0.0000 2.5914
```

A plane-wave DFT calculation with meta-GGA SCAN was carried out for a PBEsol-optimized structure of NaFeS2.

Computed properties:
raw formation energy	-89	meV/atom
DOS(E_F)	0.480	states/eV/atom
calculated total energy	-41.96	eV/cell
size of the total moment	1.084	μB/cell

```
NaFeS2
1.0
4.2769 0.0000 0.0000
2.1385 3.7039 0.0000
2.1385 1.2346 3.4921
Na S Fe
1 2 1
Cartesian
0.0000 0.0000 0.0000
2.1385 1.2346 0.8730
6.4154 3.7039 2.6191
4.2769 2.4693 1.7460
```

A plane-wave DFT calculation with meta-GGA SCAN was carried out for a PBEsol-optimized structure of CoBSe2Br.

Computed properties:
raw formation energy	1082	meV/atom
DOS(E_F)	0.698	states/eV/atom
calculated total energy	-78.94	eV/cell
size of the total moment	2.680	μB/cell

```
CoBSe2Br
1.0
4.5023 0.0000 0.0000
0.0000 4.5023 0.0000
0.0000 0.0000 5.0499
B Co Se Br
1 1 2 1
Cartesian
2.2511 2.2511 2.5250
0.0000 0.0000 0.0000
0.0000 2.2511 0.0000
2.2511 0.0000 0.0000
0.0000 0.0000 2.5250
```

A plane-wave DFT calculation with meta-GGA SCAN was carried out for a PBEsol-optimized structure of CrNiO2F.

Computed properties:
raw formation energy	-1371	meV/atom
DOS(E_F)	0.775	states/eV/atom
calculated total energy	-57.42	eV/cell
size of the total moment	4.041	μB/cell

```
CrNiO2F
1.0
-2.8566 -2.2067 -0.6957
2.1249 -2.9394 0.5986
-0.9384 0.0646 3.6481
Ni F O Cr
1 1 2 1
Cartesian
-0.8350 -2.5408 1.7755
-0.4692 0.0323 1.8240
1.0624 -1.4697 0.2993
-1.4283 -1.1033 -0.3478
0.0000 0.0000 0.0000
```

Q: Look up the raw formation energy of the fourth one.
A: -1371 meV/atom

Q: Which of these has the highest DOS(E_F)?
A: CrNiO2F

Q: Look up the calculated total energy of the second one.
A: -41.96 eV/cell

Repeat the first record exactly.
A plane-wave DFT calculation with meta-GGA SCAN was carried out for a PBEsol-optimized structure of YAg2Se.

Computed properties:
raw formation energy	-672	meV/atom
DOS(E_F)	0.419	states/eV/atom
calculated total energy	-113.34	eV/cell
size of the total moment	0.000	μB/cell

```
YAg2Se
1.0
3.9560 0.0000 0.0000
0.0000 3.9560 0.0000
0.0000 0.0000 5.1828
Ag Se Y
2 1 1
Cartesian
0.0000 1.9780 0.0000
1.9780 0.0000 0.0000
1.9780 1.9780 2.5914
0.0000 0.0000 2.5914
```